No. 1
! Ac6Ge3Te2Br (PBE-GGA, relaxed); values from VASP
! - magnetization (μB/cell) = 0.00
! - formation energy from raw total energies (eV per atom) = -1.201
! - crystal system = monoclinic
! - space group = C2/m
&SYSTEM
  ibrav = 0, nat = 12, ntyp = 4
/
ATOMIC_SPECIES
Br 79.90 Br.upf
Ac 227.00 Ac.upf
Ge 72.64 Ge.upf
Te 127.60 Te.upf
CELL_PARAMETERS angstrom
-2.923 2.240 2.840
-6.304 -6.930 -1.021
7.101 -3.976 6.636
ATOMIC_POSITIONS crystal
Br 0.500 0.000 0.000
Ac 0.661 0.598 0.323
Ac 0.339 0.402 0.677
Ac 0.993 0.271 0.986
Ac 0.007 0.729 0.014
Ac 0.674 0.068 0.348
Ac 0.326 0.932 0.652
Ge 0.500 0.500 0.000
Ge 0.166 0.834 0.332
Ge 0.834 0.166 0.668
Te 0.835 0.670 0.670
Te 0.165 0.330 0.330

---

No. 2
! Tm2MgHg8 (PBE-GGA, relaxed); values from VASP
! - magnetization (μB/cell) = 0.00
! - crystal system = monoclinic
! - space group = C2/m
! - energy of formation from the pure elements (kJ per mole of atoms) = -21
&SYSTEM
  ibrav = 0, nat = 11, ntyp = 3
/
ATOMIC_SPECIES
Mg 24.30 Mg.upf
Hg 200.59 Hg.upf
Tm 168.93 Tm.upf
CELL_PARAMETERS angstrom
4.726 0.000 0.000
0.000 6.886 0.079
-2.363 -2.839 8.017
ATOMIC_POSITIONS crystal
Mg 0.500 0.000 0.000
Hg 0.348 0.111 0.695
Hg 0.397 0.575 0.795
Hg 0.163 0.197 0.326
Hg 0.976 0.266 0.953
Hg 0.024 0.734 0.047
Hg 0.603 0.425 0.205
Hg 0.837 0.803 0.674
Hg 0.652 0.889 0.305
Tm 0.788 0.325 0.575
Tm 0.212 0.675 0.425

---

No. 3
! Pm2AgPd6 (PBE-GGA, relaxed); values from VASP
! - magnetization (μB/cell) = 0.00
! - crystal system = monoclinic
! - space group = C2/m
! - energy of formation from the pure elements (kJ per mole of atoms) = -44
&SYSTEM
  ibrav = 0, nat = 9, ntyp = 3
/
ATOMIC_SPECIES
Pd 106.42 Pd.upf
Pm 145.00 Pm.upf
Ag 107.87 Ag.upf
CELL_PARAMETERS angstrom
-5.106 1.682 -0.095
-0.325 -0.544 7.783
2.009 4.010 -3.553
ATOMIC_POSITIONS crystal
Pd 0.861 0.522 0.698
Pd 0.861 0.176 0.698
Pd 0.500 0.176 0.000
Pd 0.139 0.478 0.302
Pd 0.500 0.824 0.000
Pd 0.139 0.824 0.302
Pm 0.365 0.303 0.606
Pm 0.635 0.697 0.394
Ag 0.000 0.000 0.000

---

No. 4
! NaCa3Dy2Te6 (PBE-GGA, relaxed); values from VASP
! - magnetization (μB/cell) = 0.00
! - formation energy from raw total energies (eV per atom) = -1.463
! - crystal system = monoclinic
! - space group = C2/m
&SYSTEM
  ibrav = 0, nat = 12, ntyp = 4
/
ATOMIC_SPECIES
Dy 162.50 Dy.upf
Te 127.60 Te.upf
Ca 40.08 Ca.upf
Na 22.99 Na.upf
CELL_PARAMETERS angstrom
7.732 0.002 0.001
-3.862 6.698 0.001
-1.291 -2.235 7.278
ATOMIC_POSITIONS crystal
Dy 0.333 0.667 0.000
Dy 0.667 0.333 0.000
Te 0.577 0.918 0.755
Te 0.082 0.423 0.245
Te 0.259 0.259 0.756
Te 0.423 0.082 0.245
Te 0.918 0.577 0.755
Te 0.741 0.741 0.244
Ca 0.500 0.500 0.500
Ca 0.836 0.164 0.500
Ca 0.164 0.836 0.500
Na 0.000 0.000 0.000

---

No. 5
! ZrBe3As (PBE-GGA, relaxed); values from VASP
! - magnetization (μB/cell) = 0.00
! - crystal system = cubic
! - space group = Pm-3m
! - energy of formation from the pure elements (kJ per mole of atoms) = 166
! - ΔE to the lowest computed polymorph (eV/f.u.) = 5.207
&SYSTEM
  ibrav = 0, nat = 5, ntyp = 3
/
ATOMIC_SPECIES
As 74.92 As.upf
Be 9.01 Be.upf
Zr 91.22 Zr.upf
CELL_PARAMETERS angstrom
4.644 0.000 0.000
0.000 4.644 0.000
0.000 0.000 4.644
ATOMIC_POSITIONS crystal
As 0.500 0.500 0.500
Be 0.500 0.000 0.000
Be 0.000 0.000 0.500
Be 0.000 0.500 0.000
Zr 0.000 0.000 0.000

---

No. 6
! Ca2AlRu (PBE-GGA, relaxed); values from VASP
! - magnetization (μB/cell) = 0.00
! - crystal system = tetragonal
! - space group = I-42d
! - energy of formation from the pure elements (kJ per mole of atoms) = 12
! - ΔE to the lowest computed polymorph (eV/f.u.) = 1.330
&SYSTEM
  ibrav = 0, nat = 8, ntyp = 3
/
ATOMIC_SPECIES
Ca 40.08 Ca.upf
Ru 101.07 Ru.upf
Al 26.98 Al.upf
CELL_PARAMETERS angstrom
-5.338 5.967 6.502
-3.592 -8.410 4.769
-2.601 -1.174 7.122
ATOMIC_POSITIONS crystal
Ca 0.375 0.208 0.750
Ca 0.958 0.625 0.250
Ca 0.875 0.042 0.750
Ca 0.792 0.125 0.250
Ru 0.000 0.000 0.000
Ru 0.750 0.250 0.500
Al 0.500 0.500 0.000
Al 0.250 0.750 0.500

---

No. 7
! Tc2AgTe (PBE-GGA, relaxed); values from VASP
! - magnetization (μB/cell) = 0.00
! - formation energy from raw total energies (eV per atom) = 0.781
! - crystal system = orthorhombic
! - space group = Pmmm
&SYSTEM
  ibrav = 0, nat = 4, ntyp = 3
/
ATOMIC_SPECIES
Te 127.60 Te.upf
Tc 98.00 Tc.upf
Ag 107.87 Ag.upf
CELL_PARAMETERS angstrom
3.372 0.000 0.000
0.000 4.497 0.000
0.000 0.000 4.626
ATOMIC_POSITIONS crystal
Te 0.500 0.000 0.500
Tc 0.000 0.000 0.000
Tc 0.500 0.500 0.000
Ag 0.000 0.500 0.500

---

No. 8
! BeCrRu2 (PBE-GGA, relaxed); values from VASP
! - magnetization (μB/cell) = 0.00
! - crystal system = tetragonal
! - space group = P4/mmm
! - energy of formation from the pure elements (kJ per mole of atoms) = -7
&SYSTEM
  ibrav = 0, nat = 4, ntyp = 3
/
ATOMIC_SPECIES
Be 9.01 Be.upf
Cr 52.00 Cr.upf
Ru 101.07 Ru.upf
CELL_PARAMETERS angstrom
4.050 0.002 0.000
-0.002 4.050 0.000
0.000 0.000 2.934
ATOMIC_POSITIONS crystal
Be 0.500 0.000 0.500
Cr 0.000 0.500 0.500
Ru 0.000 0.000 0.000
Ru 0.500 0.500 0.000

---

No. 9
! Cs2RbPtI (PBE-GGA, relaxed); values from VASP
! - magnetization (μB/cell) = 0.00
! - formation energy from raw total energies (eV per atom) = -0.565
! - crystal system = tetragonal
! - space group = P4/mmm
&SYSTEM
  ibrav = 0, nat = 5, ntyp = 4
/
ATOMIC_SPECIES
Cs 132.91 Cs.upf
Pt 195.08 Pt.upf
I 126.90 I.upf
Rb 85.47 Rb.upf
CELL_PARAMETERS angstrom
6.593 0.000 0.000
0.000 6.593 0.000
0.000 0.000 6.375
ATOMIC_POSITIONS crystal
Cs 0.500 0.000 0.000
Cs 0.000 0.500 0.000
Pt 0.000 0.000 0.000
I 0.500 0.500 0.500
Rb 0.000 0.000 0.500

---

No. 10
! Rb2SnBiS4 (PBE-GGA, relaxed); values from VASP
! - magnetization (μB/cell) = 0.00
! - formation energy from raw total energies (eV per atom) = -0.641
! - crystal system = tetragonal
! - space group = I-4
&SYSTEM
  ibrav = 0, nat = 8, ntyp = 4
/
ATOMIC_SPECIES
Sn 118.71 Sn.upf
Rb 85.47 Rb.upf
Bi 208.98 Bi.upf
S 32.06 S.upf
CELL_PARAMETERS angstrom
7.478 -0.278 -0.427
-3.438 6.647 0.427
-3.438 -2.284 6.256
ATOMIC_POSITIONS crystal
Sn 0.000 0.500 0.500
Rb 0.500 0.750 0.250
Rb 0.000 0.000 0.000
Bi 0.500 0.250 0.750
S 0.930 0.552 0.138
S 0.070 0.208 0.622
S 0.414 0.862 0.792
S 0.586 0.378 0.448

---

No. 11
! HfSc2Ru3 (PBE-GGA, relaxed); values from VASP
! - magnetization (μB/cell) = 0.00
! - crystal system = tetragonal
! - space group = P4/mmm
! - energy of formation from the pure elements (kJ per mole of atoms) = -64
! - ΔE to the lowest computed polymorph (eV/f.u.) = 0.030
&SYSTEM
  ibrav = 0, nat = 6, ntyp = 3
/
ATOMIC_SPECIES
Ru 101.07 Ru.upf
Hf 178.49 Hf.upf
Sc 44.96 Sc.upf
CELL_PARAMETERS angstrom
3.224 0.000 0.000
0.000 3.224 0.000
0.000 0.000 9.646
ATOMIC_POSITIONS crystal
Ru 0.000 0.000 0.000
Ru 0.000 0.000 0.337
Ru 0.000 0.000 0.663
Hf 0.500 0.500 0.500
Sc 0.500 0.500 0.164
Sc 0.500 0.500 0.836

---

No. 12
! Cs2Tl2Pt3 (PBE-GGA, relaxed); values from VASP
! - magnetization (μB/cell) = 0.00
! - crystal system = monoclinic
! - space group = C2/m
! - energy of formation from the pure elements (kJ per mole of atoms) = -17
! - ΔE to the lowest computed polymorph (eV/f.u.) = 0.000
&SYSTEM
  ibrav = 0, nat = 7, ntyp = 3
/
ATOMIC_SPECIES
Tl 204.38 Tl.upf
Pt 195.08 Pt.upf
Cs 132.91 Cs.upf
CELL_PARAMETERS angstrom
4.256 0.000 -0.927
-0.898 8.610 -4.121
-0.711 -1.160 6.967
ATOMIC_POSITIONS crystal
Tl 0.526 0.318 0.053
Tl 0.474 0.682 0.947
Pt 0.000 0.500 0.000
Pt 0.800 0.489 0.600
Pt 0.200 0.511 0.400
Cs 0.194 0.140 0.388
Cs 0.806 0.860 0.612

---

No. 13
! PmPrPuN3 (PBE-GGA, relaxed); values from VASP
! - magnetization (μB/cell) = 0.00
! - formation energy from raw total energies (eV per atom) = -0.909
! - crystal system = monoclinic
! - space group = P2_1/m
&SYSTEM
  ibrav = 0, nat = 12, ntyp = 4
/
ATOMIC_SPECIES
Pr 140.91 Pr.upf
N 14.01 N.upf
Pm 145.00 Pm.upf
Pu 244.00 Pu.upf
CELL_PARAMETERS angstrom
3.705 0.000 0.000
0.000 7.355 0.878
0.000 -1.955 8.138
ATOMIC_POSITIONS crystal
Pr 0.250 0.161 0.141
Pr 0.750 0.839 0.859
N 0.250 0.783 0.435
N 0.750 0.217 0.565
N 0.750 0.899 0.158
N 0.750 0.390 0.124
N 0.250 0.610 0.876
N 0.250 0.101 0.842
Pm 0.250 0.624 0.161
Pm 0.750 0.376 0.839
Pu 0.250 0.058 0.576
Pu 0.750 0.942 0.424

---

No. 14
! Tb7PmPr12 (PBE-GGA, relaxed); values from VASP
! - magnetization (μB/cell) = 0.00
! - crystal system = trigonal
! - space group = R-3
! - energy of formation from the pure elements (kJ per mole of atoms) = 14
! - ΔE to the lowest computed polymorph (eV/f.u.) = 0.000
&SYSTEM
  ibrav = 0, nat = 20, ntyp = 3
/
ATOMIC_SPECIES
Pr 140.91 Pr.upf
Tb 158.93 Tb.upf
Pm 145.00 Pm.upf
CELL_PARAMETERS angstrom
9.514 -0.145 -0.217
-2.784 9.099 -0.217
-2.784 -3.705 8.313
ATOMIC_POSITIONS crystal
Pr 0.593 0.948 0.705
Pr 0.328 0.622 0.778
Pr 0.672 0.378 0.222
Pr 0.778 0.328 0.622
Pr 0.948 0.705 0.593
Pr 0.222 0.672 0.378
Pr 0.295 0.407 0.052
Pr 0.407 0.052 0.295
Pr 0.052 0.295 0.407
Pr 0.622 0.778 0.328
Pr 0.378 0.222 0.672
Pr 0.705 0.593 0.948
Tb 0.008 0.895 0.320
Tb 0.680 0.992 0.105
Tb 0.320 0.008 0.895
Tb 0.992 0.105 0.680
Tb 0.895 0.320 0.008
Tb 0.105 0.680 0.992
Tb 0.500 0.500 0.500
Pm 0.000 0.000 0.000

---

No. 15
! RbSc2Al (PBE-GGA, relaxed); values from VASP
! - magnetization (μB/cell) = 0.00
! - crystal system = tetragonal
! - space group = I-42d
! - energy of formation from the pure elements (kJ per mole of atoms) = 78
&SYSTEM
  ibrav = 0, nat = 8, ntyp = 3
/
ATOMIC_SPECIES
Sc 44.96 Sc.upf
Rb 85.47 Rb.upf
Al 26.98 Al.upf
CELL_PARAMETERS angstrom
-2.931 -5.190 0.657
2.452 -0.698 5.428
-7.609 1.715 6.971
ATOMIC_POSITIONS crystal
Sc 0.875 0.624 0.750
Sc 0.374 0.125 0.250
Sc 0.376 0.625 0.250
Sc 0.375 0.626 0.750
Rb 0.750 0.250 0.500
Rb 0.000 0.000 0.000
Al 0.500 0.500 0.000
Al 0.250 0.750 0.500

---

No. 16
! CsTlMo2Ir (PBE-GGA, relaxed); values from VASP
! - magnetization (μB/cell) = 7.29
! - crystal system = tetragonal
! - space group = P4/mmm
! - energy of formation from the pure elements (kJ per mole of atoms) = 220
&SYSTEM
  ibrav = 0, nat = 5, ntyp = 4
/
ATOMIC_SPECIES
Cs 132.91 Cs.upf
Mo 95.94 Mo.upf
Tl 204.38 Tl.upf
Ir 192.22 Ir.upf
CELL_PARAMETERS angstrom
5.222 0.000 0.000
0.000 5.133 0.000
0.000 0.000 5.222
ATOMIC_POSITIONS crystal
Cs 0.500 0.500 0.500
Mo 0.500 0.000 0.000
Mo 0.000 0.000 0.500
Tl 0.000 0.000 0.000
Ir 0.000 0.500 0.000

---

No. 17
! LiEr6Mg5 (PBE-GGA, relaxed); values from VASP
! - magnetization (μB/cell) = 0.00
! - crystal system = orthorhombic
! - space group = Cmmm
! - energy of formation from the pure elements (kJ per mole of atoms) = -3
&SYSTEM
  ibrav = 0, nat = 12, ntyp = 3
/
ATOMIC_SPECIES
Er 167.26 Er.upf
Mg 24.30 Mg.upf
Li 6.94 Li.upf
CELL_PARAMETERS angstrom
-2.214 -2.168 4.326
3.075 -6.579 -1.724
5.364 0.823 6.430
ATOMIC_POSITIONS crystal
Er 0.500 0.250 0.000
Er 0.165 0.750 0.669
Er 0.835 0.250 0.331
Er 0.166 0.250 0.669
Er 0.500 0.750 0.000
Er 0.834 0.750 0.331
Mg 0.669 0.000 0.662
Mg 0.668 0.500 0.665
Mg 0.331 0.000 0.338
Mg 0.332 0.500 0.335
Mg 0.000 0.500 0.000
Li 0.000 0.000 0.000

---

No. 18
! SrCePb (PBE-GGA, relaxed); values from VASP
! - magnetization (μB/cell) = 1.96
! - crystal system = trigonal
! - space group = P3m1
! - energy of formation from the pure elements (kJ per mole of atoms) = -10
&SYSTEM
  ibrav = 0, nat = 3, ntyp = 3
/
ATOMIC_SPECIES
Pb 207.20 Pb.upf
Sr 87.62 Sr.upf
Ce 140.12 Ce.upf
CELL_PARAMETERS angstrom
3.925 0.000 0.000
0.000 5.577 0.000
0.000 -2.788 4.830
ATOMIC_POSITIONS crystal
Pb 0.052 0.000 0.000
Sr 0.698 0.333 0.667
Ce 0.250 0.667 0.333

---

No. 19
! Tb8Tl5Ag (PBE-GGA, relaxed); values from VASP
! - magnetization (μB/cell) = 0.00
! - crystal system = tetragonal
! - space group = I-4
! - energy of formation from the pure elements (kJ per mole of atoms) = -22
&SYSTEM
  ibrav = 0, nat = 14, ntyp = 3
/
ATOMIC_SPECIES
Tb 158.93 Tb.upf
Tl 204.38 Tl.upf
Ag 107.87 Ag.upf
CELL_PARAMETERS angstrom
-0.484 7.613 -2.664
-2.585 -0.378 7.646
7.691 -2.448 -0.397
ATOMIC_POSITIONS crystal
Tb 0.633 0.401 0.878
Tb 0.981 0.114 0.729
Tb 0.271 0.252 0.385
Tb 0.133 0.748 0.019
Tb 0.768 0.245 0.367
Tb 0.615 0.886 0.867
Tb 0.477 0.599 0.232
Tb 0.122 0.755 0.523
Tl 0.500 0.000 0.500
Tl 0.754 0.625 0.628
Tl 0.372 0.126 0.997
Tl 0.871 0.874 0.246
Tl 0.003 0.375 0.129
Ag 0.250 0.500 0.750

---

No. 20
! CdInI3 (PBE-GGA, relaxed); values from VASP
! - magnetization (μB/cell) = 0.00
! - formation energy from raw total energies (eV per atom) = -0.515
! - crystal system = triclinic
! - space group = P-1
&SYSTEM
  ibrav = 0, nat = 10, ntyp = 3
/
ATOMIC_SPECIES
I 126.90 I.upf
In 114.82 In.upf
Cd 112.41 Cd.upf
CELL_PARAMETERS angstrom
-1.376 -0.864 -5.400
-8.314 -2.468 2.615
-4.785 7.683 0.100
ATOMIC_POSITIONS crystal
I 0.002 0.016 0.062
I 0.002 0.623 0.454
I 0.003 0.561 0.000
I 0.483 0.889 0.721
I 0.482 0.343 0.782
I 0.483 0.281 0.328
In 0.887 0.168 0.608
In 0.598 0.737 0.174
Cd 0.742 0.271 0.072
Cd 0.742 0.633 0.710